1.
# LaY2Cd

A relaxed LaY2Cd crystal (PBE, the Alexandria database).

```
data_LaY2Cd
_chemical_formula_sum 'La1 Y2 Cd1'
_cell_length_a 6.733
_cell_length_b 6.733
_cell_length_c 5.636
_cell_angle_alpha 65.23
_cell_angle_beta 65.23
_cell_angle_gamma 33.11
_symmetry_space_group_name_H-M 'P 1'
_symmetry_Int_Tables_number 1
loop_
_symmetry_equiv_pos_as_xyz
'x,y,z'
loop_
_atom_site_label
_atom_site_type_symbol
_atom_site_fract_x
_atom_site_fract_y
_atom_site_fract_z
Y1 Y 0.029 0.029 0.971
Y2 Y 0.471 0.471 0.529
Cd1 Cd 0.750 0.750 0.750
La1 La 0.250 0.250 0.250
```



2.
# La4YCd

A relaxed La4YCd crystal (PBE, the Alexandria database).

```
data_La4YCd
_chemical_formula_sum 'La4 Y1 Cd1'
_cell_length_a 3.765
_cell_length_b 3.765
_cell_length_c 14.344
_cell_angle_alpha 90.00
_cell_angle_beta 90.00
_cell_angle_gamma 90.00
_symmetry_space_group_name_H-M 'P 1'
_symmetry_Int_Tables_number 1
loop_
_symmetry_equiv_pos_as_xyz
'x,y,z'
loop_
_atom_site_label
_atom_site_type_symbol
_atom_site_fract_x
_atom_site_fract_y
_atom_site_fract_z
La1 La 0.500 0.500 0.825
La2 La 0.500 0.500 0.175
La3 La 0.000 0.000 0.648
La4 La 0.000 0.000 0.352
Y1 Y 0.000 0.000 0.000
Cd1 Cd 0.500 0.500 0.500
```

Values from the calculation:
Energy above the most stable polymorph in this dataset: 0.000 eV per formula unit



3.
# LaY2Cd

A relaxed LaY2Cd crystal (PBE, the Alexandria database).

```
data_LaY2Cd
_chemical_formula_sum 'La1 Y2 Cd1'
_cell_length_a 6.745
_cell_length_b 6.745
_cell_length_c 5.461
_cell_angle_alpha 66.11
_cell_angle_beta 66.11
_cell_angle_gamma 33.38
_symmetry_space_group_name_H-M 'P 1'
_symmetry_Int_Tables_number 1
loop_
_symmetry_equiv_pos_as_xyz
'x,y,z'
loop_
_atom_site_label
_atom_site_type_symbol
_atom_site_fract_x
_atom_site_fract_y
_atom_site_fract_z
Y1 Y 0.004 0.004 0.997
Y2 Y 0.781 0.781 0.718
Cd1 Cd 0.491 0.491 0.510
La1 La 0.224 0.224 0.275
```



4.
# LaY4Cd

A relaxed LaY4Cd crystal (PBE, the Alexandria database).

```
data_LaY4Cd
_chemical_formula_sum 'La2 Y8 Cd2'
_cell_length_a 6.383
_cell_length_b 9.041
_cell_length_c 8.406
_cell_angle_alpha 113.25
_cell_angle_beta 100.20
_cell_angle_gamma 112.13
_symmetry_space_group_name_H-M 'P 1'
_symmetry_Int_Tables_number 1
loop_
_symmetry_equiv_pos_as_xyz
'x,y,z'
loop_
_atom_site_label
_atom_site_type_symbol
_atom_site_fract_x
_atom_site_fract_y
_atom_site_fract_z
La1 La 0.346 0.596 0.191
La2 La 0.654 0.404 0.809
Y1 Y 0.033 0.164 0.767
Y2 Y 0.760 0.713 0.623
Y3 Y 0.234 0.603 0.767
Y4 Y 0.363 0.910 0.623
Y5 Y 0.637 0.090 0.377
Y6 Y 0.766 0.397 0.233
Y7 Y 0.240 0.287 0.377
Y8 Y 0.967 0.836 0.233
Cd1 Cd 0.250 0.000 0.000
Cd2 Cd 0.750 0.000 0.000
```

Values from the calculation:
Energy above the most stable polymorph in this dataset: 0.521 eV per formula unit



5.
# LaY2Cd2

A relaxed LaY2Cd2 crystal (PBE, the Alexandria database).

```
data_LaY2Cd2
_chemical_formula_sum 'La1 Y2 Cd2'
_cell_length_a 4.678
_cell_length_b 4.678
_cell_length_c 7.933
_cell_angle_alpha 72.85
_cell_angle_beta 72.85
_cell_angle_gamma 90.00
_symmetry_space_group_name_H-M 'P 1'
_symmetry_Int_Tables_number 1
loop_
_symmetry_equiv_pos_as_xyz
'x,y,z'
loop_
_atom_site_label
_atom_site_type_symbol
_atom_site_fract_x
_atom_site_fract_y
_atom_site_fract_z
Y1 Y 0.387 0.387 0.225
Y2 Y 0.613 0.613 0.775
Cd1 Cd 0.750 0.250 0.500
Cd2 Cd 0.250 0.750 0.500
La1 La 0.000 0.000 0.000
```

Values from the calculation:
Energy above the most stable polymorph in this dataset: 1.574 eV per formula unit



6.
# La2YCd2

A relaxed La2YCd2 crystal (PBE, the Alexandria database).

```
data_La2YCd2
_chemical_formula_sum 'La4 Y2 Cd4'
_cell_length_a 3.787
_cell_length_b 5.435
_cell_length_c 14.715
_cell_angle_alpha 90.00
_cell_angle_beta 97.38
_cell_angle_gamma 90.00
_symmetry_space_group_name_H-M 'P 1'
_symmetry_Int_Tables_number 1
loop_
_symmetry_equiv_pos_as_xyz
'x,y,z'
loop_
_atom_site_label
_atom_site_type_symbol
_atom_site_fract_x
_atom_site_fract_y
_atom_site_fract_z
La1 La 0.041 0.750 0.082
La2 La 0.959 0.250 0.918
La3 La 0.232 0.750 0.467
La4 La 0.768 0.250 0.533
Y1 Y 0.850 0.750 0.702
Y2 Y 0.150 0.250 0.298
Cd1 Cd 0.637 0.750 0.274
Cd2 Cd 0.363 0.250 0.726
Cd3 Cd 0.439 0.750 0.879
Cd4 Cd 0.561 0.250 0.121
```

Values from the calculation:
Energy above the most stable polymorph in this dataset: 0.000 eV per formula unit



7.
# LaY6Cd2

A relaxed LaY6Cd2 crystal (PBE, the Alexandria database).

```
data_LaY6Cd2
_chemical_formula_sum 'La1 Y6 Cd2'
_cell_length_a 3.757
_cell_length_b 6.681
_cell_length_c 11.938
_cell_angle_alpha 74.73
_cell_angle_beta 80.95
_cell_angle_gamma 73.67
_symmetry_space_group_name_H-M 'P 1'
_symmetry_Int_Tables_number 1
loop_
_symmetry_equiv_pos_as_xyz
'x,y,z'
loop_
_atom_site_label
_atom_site_type_symbol
_atom_site_fract_x
_atom_site_fract_y
_atom_site_fract_z
La1 La 0.000 0.000 0.000
Y1 Y 0.686 0.503 0.125
Y2 Y 0.314 0.497 0.875
Y3 Y 0.313 0.791 0.583
Y4 Y 0.984 0.690 0.342
Y5 Y 0.016 0.310 0.658
Y6 Y 0.687 0.209 0.417
Cd1 Cd 0.349 0.083 0.219
Cd2 Cd 0.651 0.917 0.781
```



8.
# LaY2Cd

A relaxed LaY2Cd crystal (PBE, the Alexandria database).

```
data_LaY2Cd
_chemical_formula_sum 'La1 Y2 Cd1'
_cell_length_a 6.200
_cell_length_b 6.684
_cell_length_c 3.470
_cell_angle_alpha 77.51
_cell_angle_beta 84.65
_cell_angle_gamma 116.08
_symmetry_space_group_name_H-M 'P 1'
_symmetry_Int_Tables_number 1
loop_
_symmetry_equiv_pos_as_xyz
'x,y,z'
loop_
_atom_site_label
_atom_site_type_symbol
_atom_site_fract_x
_atom_site_fract_y
_atom_site_fract_z
Cd1 Cd 0.000 0.500 0.500
La1 La 0.500 0.500 0.000
Y1 Y 0.000 0.000 0.000
Y2 Y 0.500 0.000 0.500
```



We obtain energy relative to the elements values of -0.15; -0.10; -0.13; -0.01; 0.05; -0.25; -0.14; 0.00 eV per atom for the records listed above, in that order.